Material: FeNi4Pd3
Method: DFT, PBE
State: relaxed

Output
- space group = P4/mmm, No. 123

Lattice parameters (Å, degrees): 3.006 3.006 11.425 90.00 90.00 90.00
Sites, in units of the cell vectors:
Fe: 0.000 0.000 0.000
Ni: 0.500 0.500 0.108
Ni: 0.500 0.500 0.371
Ni: 0.500 0.500 0.629
Ni: 0.500 0.500 0.892
Pd: 0.000 0.000 0.242
Pd: 0.000 0.000 0.500
Pd: 0.000 0.000 0.758


Material: FeNi5Pd2
Method: DFT, PBE
State: relaxed

Output
- space group = Pbam, No. 55
- excess energy over the best structure of this formula in the dataset (eV/f.u.) = 0.09

Lattice parameters (Å, degrees): 5.178 10.377 3.655 90.00 90.00 90.00
Sites, in units of the cell vectors:
Fe: 0.000 0.000 0.000
Fe: 0.500 0.500 0.000
Ni: 0.000 0.500 0.000
Ni: 0.002 0.247 0.000
Ni: 0.249 0.125 0.500
Ni: 0.251 0.625 0.500
Ni: 0.498 0.747 0.000
Ni: 0.500 0.000 0.000
Ni: 0.502 0.253 0.000
Ni: 0.749 0.375 0.500
Ni: 0.751 0.875 0.500
Ni: 0.998 0.753 0.000
Pd: 0.248 0.375 0.500
Pd: 0.252 0.875 0.500
Pd: 0.748 0.125 0.500
Pd: 0.752 0.625 0.500


Material: Fe2Ni6Pd
Method: DFT, PBE
State: relaxed

Output
- space group = C2/m, No. 12

Lattice parameters (Å, degrees): 4.408 4.408 7.620 106.66 106.66 48.19
Sites, in units of the cell vectors:
Fe: 0.177 0.177 0.232
Fe: 0.823 0.823 0.768
Ni: 0.165 0.165 0.552
Ni: 0.165 0.165 0.880
Ni: 0.498 0.498 0.660
Ni: 0.502 0.502 0.340
Ni: 0.835 0.835 0.120
Ni: 0.835 0.835 0.448
Pd: 0.500 0.500 0.000


Material: Fe5Ni5Pd2
Method: DFT, PBE
State: relaxed

Output
- space group = C2/m, No. 12

Lattice parameters (Å, degrees): 5.814 5.814 8.091 115.50 115.50 36.67
Sites, in units of the cell vectors:
Fe: 0.000 0.000 0.000
Fe: 0.083 0.083 0.762
Fe: 0.245 0.245 0.237
Fe: 0.755 0.755 0.763
Fe: 0.917 0.917 0.238
Ni: 0.331 0.331 0.998
Ni: 0.424 0.424 0.762
Ni: 0.500 0.500 0.500
Ni: 0.576 0.576 0.238
Ni: 0.669 0.669 0.002
Pd: 0.162 0.162 0.504
Pd: 0.838 0.838 0.496


Material: Fe3NiPd4
Method: DFT, PBE
State: relaxed

Output
- space group = Immm, No. 71
- excess energy over the best structure of this formula in the dataset (eV/f.u.) = 0.65

Lattice parameters (Å, degrees): 8.124 8.124 8.124 153.46 152.56 38.54
Sites, in units of the cell vectors:
Fe: 0.000 0.000 0.000
Fe: 0.377 0.877 0.500
Fe: 0.623 0.123 0.500
Ni: 0.500 0.500 0.000
Pd: 0.115 0.615 0.500
Pd: 0.251 0.251 0.000
Pd: 0.749 0.749 0.000
Pd: 0.885 0.385 0.500


Material: FeNi4Pd
Method: DFT, PBE
State: relaxed

Output
- space group = C2/m, No. 12
- excess energy over the best structure of this formula in the dataset (eV/f.u.) = 0.00

Lattice parameters (Å, degrees): 4.427 4.427 5.170 106.89 106.89 47.82
Sites, in units of the cell vectors:
Fe: 0.000 0.000 0.000
Ni: 0.328 0.328 0.158
Ni: 0.336 0.336 0.679
Ni: 0.664 0.664 0.321
Ni: 0.672 0.672 0.842
Pd: 0.000 0.000 0.500


Material: Fe4NiPd15
Method: DFT, PBE
State: relaxed

Output
- space group = P4/mmm, No. 123

Lattice parameters (Å, degrees): 3.895 3.895 19.406 90.00 90.00 90.00
Sites, in units of the cell vectors:
Fe: 0.000 0.000 0.101
Fe: 0.000 0.000 0.303
Fe: 0.000 0.000 0.697
Fe: 0.000 0.000 0.899
Ni: 0.000 0.000 0.500
Pd: 0.000 0.500 0.000
Pd: 0.000 0.500 0.200
Pd: 0.000 0.500 0.400
Pd: 0.000 0.500 0.600
Pd: 0.000 0.500 0.800
Pd: 0.500 0.000 0.000
Pd: 0.500 0.000 0.200
Pd: 0.500 0.000 0.400
Pd: 0.500 0.000 0.600
Pd: 0.500 0.000 0.800
Pd: 0.500 0.500 0.100
Pd: 0.500 0.500 0.300
Pd: 0.500 0.500 0.500
Pd: 0.500 0.500 0.700
Pd: 0.500 0.500 0.900


Material: Fe6Ni8Pd
Method: DFT, PBE
State: relaxed

Output
- space group = R-3, No. 148

Lattice parameters (Å, degrees): 7.240 7.240 7.240 48.75 48.75 48.75
Sites, in units of the cell vectors:
Fe: 0.157 0.316 0.825
Fe: 0.175 0.843 0.684
Fe: 0.316 0.825 0.157
Fe: 0.684 0.175 0.843
Fe: 0.825 0.157 0.316
Fe: 0.843 0.684 0.175
Ni: 0.082 0.275 0.559
Ni: 0.199 0.199 0.199
Ni: 0.275 0.559 0.082
Ni: 0.441 0.918 0.725
Ni: 0.559 0.082 0.275
Ni: 0.725 0.441 0.918
Ni: 0.801 0.801 0.801
Ni: 0.918 0.725 0.441
Pd: 0.500 0.500 0.500


Number 1: volume 12.9 Å³ per atom, N(E_F) 1.202 states/eV/atom, formation enthalpy at 0 K 0.025 eV/atom. Number 2: volume 12.3 Å³ per atom, N(E_F) 1.351 states/eV/atom, formation enthalpy at 0 K -0.010 eV/atom. Number 3: volume 11.6 Å³ per atom, N(E_F) 1.087 states/eV/atom, formation enthalpy at 0 K -0.043 eV/atom. Number 4: volume 12.1 Å³ per atom, N(E_F) 0.847 states/eV/atom, formation enthalpy at 0 K -0.034 eV/atom. Number 5: volume 13.8 Å³ per atom, N(E_F) 1.180 states/eV/atom, formation enthalpy at 0 K 0.021 eV/atom. Number 6: volume 11.9 Å³ per atom, N(E_F) 0.955 states/eV/atom, formation enthalpy at 0 K -0.035 eV/atom. Number 7: volume 14.7 Å³ per atom, N(E_F) 0.961 states/eV/atom, formation enthalpy at 0 K -0.077 eV/atom. Number 8: volume 13.1 Å³ per atom, N(E_F) 1.037 states/eV/atom, formation enthalpy at 0 K 0.344 eV/atom.